# WO2

A geometry-optimized WO2 structure (GGA+U, the Alexandria database).

Calculated values
energy: -22.76 eV per formula unit

a = 5.6730 Å, b = 5.7570 Å, c = 20.3441 Å
α = 89.93°, β = 89.73°, γ = 70.08°
Site moments in Bohr magnetons follow the coordinates.
Positions (direct):
O: 0.3103 0.4166 0.9647  -0.01
O: 0.1125 0.5993 0.8399  0.00
O: 0.9215 0.8010 0.9652  -0.01
O: 0.8761 0.3730 0.9146  0.09
O: 0.6149 0.1028 0.8259  0.05
O: 0.8170 0.9159 0.7020  0.01
O: 0.6387 0.6211 0.7887  -0.01
O: 0.5969 0.1148 0.5698  0.00
O: 0.4274 0.3037 0.7021  0.00
O: 0.4090 0.9061 0.9219  0.00
O: 0.3857 0.8807 0.6503  0.07
O: 0.1271 0.1305 0.7886  -0.01
O: 0.4051 0.4054 0.4514  0.00
O: 0.1012 0.6189 0.5735  0.00
O: 0.0932 0.1259 0.5389  0.00
O: 0.0992 0.6177 0.3322  0.00
O: 0.9094 0.9016 0.4515  0.00
O: 0.9118 0.4015 0.6635  0.01
O: 0.9074 0.4036 0.4206  0.00
O: 0.5991 0.6171 0.5393  0.01
O: 0.5983 0.1195 0.3318  0.00
O: 0.9087 0.9012 0.2133  0.01
O: 0.6019 0.6176 0.3019  0.01
O: 0.6162 0.1066 0.1010  0.01
O: 0.4083 0.4030 0.2140  0.00
O: 0.4082 0.9045 0.4215  0.01
O: 0.4007 0.9016 0.1838  0.03
O: 0.0972 0.1197 0.3015  0.00
O: 0.1163 0.6071 0.0867  0.05
O: 0.1420 0.1156 0.0512  -0.01
O: 0.9083 0.4078 0.1789  -0.01
O: 0.6205 0.6361 0.0515  -0.01
W: 0.7692 0.7393 0.8767  1.95
W: 0.4668 0.9538 0.7456  1.89
W: 0.2487 0.2612 0.8766  1.95
W: 0.7501 0.2608 0.4948  1.96
W: 0.2529 0.2524 0.6148  1.96
W: 0.7736 0.2673 0.7437  1.97
W: 0.2540 0.7616 0.2576  1.97
W: 0.7545 0.7578 0.6143  1.96
W: 0.7531 0.7607 0.3762  1.97
W: 0.2527 0.7621 0.4963  1.97
W: 0.2534 0.2616 0.3762  1.97
W: 0.7546 0.7678 0.1379  1.95
W: 0.2739 0.2503 0.1383  1.95
W: 0.7554 0.2621 0.2563  1.97
W: 0.9611 0.4516 0.0090  1.92
W: 0.2719 0.7682 0.0045  1.97